A plane-wave DFT calculation with PBE-GGA was carried out for CaYHfP2 after structural relaxation.

**Energy relative to the elements**: 1.0444 eV/atom

Cell: 5.0343 5.0343 4.8886 Å, 90.00 90.00 90.00°
Last column: nearest neighbours and their distance in Å.
Fractional coordinates of all 5 atoms:
Ca 0.0000 0.0000 0.0000  2 Y 2.44, 4 P 2.52
Y 0.0000 0.0000 0.5000  2 Ca 2.44
Hf 0.5000 0.5000 0.5000  8 P 3.51, 4 Y 3.56
P 0.0000 0.5000 0.0000  2 Ca 2.52
P 0.5000 0.0000 0.0000  2 Ca 2.52



A plane-wave DFT calculation with PBE-GGA was carried out for Dy2ErZr after structural relaxation.

**Energy above the lowest structure with this stoichiometry**: 0.134 eV per atom
**Energy relative to the elements**: 0.2076 eV/atom

Cell: 5.4854 5.4854 5.4854 Å, 60.00 60.00 60.00°
Last column: nearest neighbours and their distance in Å.
Fractional coordinates of all 4 atoms:
Dy 0.2500 0.2500 0.2500  4 Zr 3.36, 4 Er 3.36
Dy 0.7500 0.7500 0.7500  4 Zr 3.36, 4 Er 3.36
Er 0.0000 0.0000 0.0000  8 Dy 3.36
Zr 0.5000 0.5000 0.5000  8 Dy 3.36



A plane-wave DFT calculation with PBE-GGA was carried out for Ca2OsPb after structural relaxation.

**Energy relative to the elements**: 0.3119 eV/atom

Cell: 7.6549 7.6549 7.6549 Å, 96.87 96.87 139.53°
Last column: nearest neighbours and their distance in Å.
Fractional coordinates of all 8 atoms:
Ca 0.3750 0.2233 0.3483  2 Os 2.81
Ca 0.7767 0.1250 0.1517  2 Os 2.81
Ca 0.8750 0.0267 0.6517  2 Os 2.81
Ca 0.9733 0.6250 0.8483  2 Os 2.81
Os 0.0000 0.0000 0.0000  2 Pb 2.65, 4 Ca 2.81
Os 0.7500 0.2500 0.5000  2 Pb 2.65, 4 Ca 2.81
Pb 0.2500 0.7500 0.5000  2 Os 2.65
Pb 0.5000 0.5000 0.0000  2 Os 2.65



A plane-wave DFT calculation with PBE-GGA was carried out for Tl2Si2I after structural relaxation.

**Energy above the lowest structure with this stoichiometry**: 0.000 eV per atom

Cell: 11.4157 11.4157 11.4157 Å, 162.13 162.13 25.38°
Last column: nearest neighbours and their distance in Å.
Fractional coordinates of all 5 atoms:
Tl 0.1210 0.1210 0.0000  4 Si 3.38, 4 Tl 3.55, 4 I 3.68
Tl 0.8790 0.8790 0.0000  4 Si 3.38, 4 Tl 3.55, 4 I 3.68
Si 0.2500 0.7500 0.5000  4 Si 2.51
Si 0.7500 0.2500 0.5000  4 Si 2.51
I 0.5000 0.5000 0.0000  4 I 3.55, 8 Tl 3.68



A plane-wave DFT calculation with PBE-GGA was carried out for LaRhAu after structural relaxation.

**Energy relative to the elements**: -0.7001 eV/atom

Cell: 6.7695 5.3624 7.8332 Å, 90.00 109.55 90.00°
Last column: nearest neighbours and their distance in Å.
Fractional coordinates of all 12 atoms:
La 0.1920 0.0947 0.3787  2 Rh 2.72-3.00
La 0.1920 0.4053 0.8787  2 Rh 2.72-3.00
La 0.8080 0.5947 0.1213  2 Rh 2.72-3.00
La 0.8080 0.9053 0.6213  2 Rh 2.72-3.00
Rh 0.1699 0.6401 0.5245  1 Rh 2.67, 1 La 2.72, 3 Au 2.76-2.87
Rh 0.1699 0.8599 0.0245  1 Rh 2.67, 1 La 2.72, 3 Au 2.76-2.87
Rh 0.8301 0.1401 0.9755  1 Rh 2.67, 1 La 2.72, 3 Au 2.76-2.87
Rh 0.8301 0.3599 0.4755  1 Rh 2.67, 1 La 2.72, 3 Au 2.76-2.87
Au 0.4326 0.5811 0.3061  3 Rh 2.76-2.87, 3 Au 2.99-3.05
Au 0.4326 0.9189 0.8061  3 Rh 2.76-2.87, 3 Au 2.99-3.05
Au 0.5674 0.0811 0.1939  3 Rh 2.76-2.87, 3 Au 2.99-3.05
Au 0.5674 0.4189 0.6939  3 Rh 2.76-2.87, 3 Au 2.99-3.05



A plane-wave DFT calculation with PBE-GGA was carried out for InCo2Rh2 after structural relaxation.

**Energy above the lowest structure with this stoichiometry**: 0.050 eV per atom
**Energy relative to the elements**: 0.1404 eV/atom

Cell: 7.2714 7.2714 2.8014 Å, 90.00 90.00 90.00°
Last column: nearest neighbours and their distance in Å.
Fractional coordinates of all 10 atoms:
In 0.0000 0.0000 0.0000  2 In 2.80, 4 Rh 2.84, 8 Co 3.06
In 0.5000 0.5000 0.0000  2 In 2.80, 4 Rh 2.84, 8 Co 3.06
Co 0.1632 0.3368 0.5000  6 Rh 2.53-2.57, 2 Co 2.80
Co 0.3368 0.8368 0.5000  6 Rh 2.53-2.57, 2 Co 2.80
Co 0.6632 0.1632 0.5000  6 Rh 2.53-2.57, 2 Co 2.80
Co 0.8368 0.6632 0.5000  6 Rh 2.53-2.57, 2 Co 2.80
Rh 0.1316 0.6316 0.0000  6 Co 2.53-2.57, 3 Rh 2.71-2.80
Rh 0.3684 0.1316 0.0000  6 Co 2.53-2.57, 3 Rh 2.71-2.80
Rh 0.6316 0.8684 0.0000  6 Co 2.53-2.57, 3 Rh 2.71-2.80
Rh 0.8684 0.3684 0.0000  6 Co 2.53-2.57, 3 Rh 2.71-2.80



A plane-wave DFT calculation with PBE-GGA was carried out for InAgSnSb after structural relaxation.

Cell: 5.2313 5.2313 5.2313 Å, 60.00 60.00 60.00°
Last column: nearest neighbours and their distance in Å.
Fractional coordinates of all 4 atoms:
In 0.0000 0.0000 0.0000  4 Sn 3.20, 4 Ag 3.20
Ag 0.2500 0.2500 0.2500  4 In 3.20, 4 Sb 3.20
Sn 0.7500 0.7500 0.7500  4 In 3.20, 4 Sb 3.20
Sb 0.5000 0.5000 0.5000  4 Sn 3.20, 4 Ag 3.20



| no. | raw total energy (eV/atom) |
| --- | --- |
| 1 | -4.8034 |
| 2 | -5.3712 |
| 3 | -4.4234 |
| 4 | -3.2585 |
| 5 | -5.8856 |
| 6 | -6.1902 |
| 7 | -3.2924 |